# YSc4Ni

A geometry-optimized YSc4Ni structure (PBE, the Alexandria database).

The structure in POSCAR format:
```
YSc4Ni
1.0
0.0000 4.1712 4.1712
4.1712 0.0000 4.1712
4.1712 4.1712 0.0000
Y Sc Ni
1 4 1
Cartesian
6.2569 6.2569 6.2569 Y
3.1281 3.1281 3.1281 Sc
5.2144 3.1281 5.2144 Sc
5.2144 5.2144 3.1281 Sc
3.1281 5.2144 5.2144 Sc
0.0000 0.0000 0.0000 Ni
```

V = 145 Å³ per cell
SG = F-43m, No. 216
total energy = -5.823 eV/atom



# K2TlSn2

A geometry-optimized K2TlSn2 structure (PBE, the Alexandria database).

The structure in POSCAR format:
```
K2TlSn2
1.0
-2.2484 4.6111 -4.8924
-1.4635 -6.6984 -0.5049
-6.7980 2.8721 5.8312
Tl K Sn
2 4 4
Cartesian
-3.7099 4.8410 -2.9167 Tl
-5.3365 2.6422 3.8555 Tl
-3.9535 -2.7244 0.7335 K
-6.5564 3.5092 -0.2996 K
-2.5076 0.7404 -1.8012 K
-8.0023 0.0443 2.2352 K
-6.0255 -0.1174 -0.8621 Sn
-9.4247 5.4991 0.8579 Sn
-1.0852 -4.7144 -0.4240 Sn
-4.4845 0.9022 1.2960 Sn
```

V = 383 Å³ per cell
SG = C2/c, No. 15
distance to the lowest polymorph of the same formula = 14 meV per atom